Crystalline TcNiRu2 at its relaxed geometry, computed with PBE.

Cell lengths 4.5977, 4.5977, 4.6339 Å; angles 80.83, 80.83, 33.87 degrees
Closest atoms and distances in Å follow each position.
Atoms (fractional coordinates):
Tc (0.7500, 0.7500, 0.7500)  6 Ru 2.67, 4 Ni 2.68, 2 Tc 2.68
Ni (0.2500, 0.2500, 0.2500)  6 Ru 2.63-2.67, 4 Tc 2.68, 2 Ni 2.68
Ru (0.0009, 0.0009, 0.0046)  3 Ni 2.63-2.67, 6 Ru 2.64-2.72, 3 Tc 2.67
Ru (0.4991, 0.4991, 0.4954)  3 Ni 2.63-2.67, 6 Ru 2.64-2.72, 3 Tc 2.67

Results
**Formation energy from the elements**: 90 meV/atom
**Total DFT energy (no corrections)**: -34.34 eV/cell
**ΔE to the lowest computed polymorph**: 0.038 eV per atom


Crystalline TcNi3Ru at its relaxed geometry, computed with PBE.

Cell lengths 4.3710, 4.3710, 4.3710 Å; angles 90.00, 90.00, 90.00 degrees
Closest atoms and distances in Å follow each position.
Atoms (fractional coordinates):
Ni (0.0000, 0.0000, 0.5000)  2 Tc 2.19
Ni (0.0000, 0.5000, 0.0000)  2 Tc 2.19
Ni (0.5000, 0.0000, 0.0000)  2 Tc 2.19
Tc (0.0000, 0.0000, 0.0000)  6 Ni 2.19
Ru (0.5000, 0.5000, 0.5000)  12 Ni 3.09

Results
**Formation energy from the elements**: 1612 meV/atom
**Total DFT energy (no corrections)**: -28.93 eV/cell
**ΔE to the lowest computed polymorph**: 0.000 eV per atom


Crystalline Tc2NiRu2 at its relaxed geometry, computed with PBE.

Cell lengths 7.3515, 7.3515, 2.7427 Å; angles 90.00, 90.00, 90.00 degrees
Closest atoms and distances in Å follow each position.
Atoms (fractional coordinates):
Tc (0.6684, 0.8316, 0.5000)  6 Ru 2.53-2.59, 2 Tc 2.74
Tc (0.8316, 0.3316, 0.5000)  6 Ru 2.53-2.59, 2 Tc 2.74
Tc (0.1684, 0.6684, 0.5000)  6 Ru 2.53-2.59, 2 Tc 2.74
Tc (0.3316, 0.1684, 0.5000)  6 Ru 2.53-2.59, 2 Tc 2.74
Ni (0.5000, 0.5000, 0.0000)  2 Ni 2.74, 4 Ru 2.89, 8 Tc 3.06
Ni (0.0000, 0.0000, 0.0000)  2 Ni 2.74, 4 Ru 2.89, 8 Tc 3.06
Ru (0.8725, 0.6275, 0.0000)  6 Tc 2.53-2.59, 3 Ru 2.65-2.74
Ru (0.6275, 0.1275, 0.0000)  6 Tc 2.53-2.59, 3 Ru 2.65-2.74
Ru (0.3725, 0.8725, 0.0000)  6 Tc 2.53-2.59, 3 Ru 2.65-2.74
Ru (0.1275, 0.3725, 0.0000)  6 Tc 2.53-2.59, 3 Ru 2.65-2.74

Results
**Formation energy from the elements**: 317 meV/atom
**Total DFT energy (no corrections)**: -86.96 eV/cell


Crystalline TcNiRu2 at its relaxed geometry, computed with PBE.

Cell lengths 3.0964, 3.0964, 5.6407 Å; angles 90.00, 90.00, 90.00 degrees
Closest atoms and distances in Å follow each position.
Atoms (fractional coordinates):
Ru (0.0000, 0.0000, 0.9794)  4 Ni 2.54, 1 Ru 2.59, 4 Tc 2.67
Ru (0.0000, 0.0000, 0.5206)  4 Ni 2.54, 1 Ru 2.59, 4 Tc 2.67
Ni (0.5000, 0.5000, 0.7500)  8 Ru 2.54, 2 Tc 2.82
Tc (0.5000, 0.5000, 0.2500)  8 Ru 2.67, 2 Ni 2.82

Results
**Formation energy from the elements**: 248 meV/atom
**Total DFT energy (no corrections)**: -33.71 eV/cell
**ΔE to the lowest computed polymorph**: 0.196 eV per atom


Crystalline TcNi2Ru at its relaxed geometry, computed with PBE.

Cell lengths 8.5524, 8.5524, 8.5524 Å; angles 17.87, 17.87, 17.87 degrees
Closest atoms and distances in Å follow each position.
Atoms (fractional coordinates):
Ru (0.5009, 0.5009, 0.5009)  3 Ni 2.63, 3 Tc 2.65, 6 Ru 2.66
Ni (0.2523, 0.2523, 0.2523)  9 Ni 2.52-2.66, 3 Ru 2.63
Ni (0.9980, 0.9980, 0.9980)  9 Ni 2.52-2.66, 3 Tc 2.62
Tc (0.7488, 0.7488, 0.7488)  3 Ni 2.62, 3 Ru 2.65, 6 Tc 2.66

Results
**Formation energy from the elements**: 101 meV/atom
**Total DFT energy (no corrections)**: -30.80 eV/cell
**ΔE to the lowest computed polymorph**: 0.082 eV per atom


Crystalline TcNiRu2 at its relaxed geometry, computed with PBE.

Cell lengths 2.7459, 4.4869, 4.4520 Å; angles 90.00, 90.00, 90.00 degrees
Closest atoms and distances in Å follow each position.
Atoms (fractional coordinates):
Ru (0.5000, 0.5000, 0.0000)  4 Ni 2.62, 6 Ru 2.63-2.75
Ru (0.0000, 0.0000, 0.0000)  4 Tc 2.62, 6 Ru 2.63-2.75
Tc (0.5000, 0.0000, 0.5000)  4 Ru 2.62, 4 Ni 2.63, 2 Tc 2.75
Ni (0.0000, 0.5000, 0.5000)  4 Ru 2.62, 4 Tc 2.63, 2 Ni 2.75

Results
**Formation energy from the elements**: 373 meV/atom
**Total DFT energy (no corrections)**: -33.21 eV/cell
**ΔE to the lowest computed polymorph**: 0.321 eV per atom


Crystalline TcNi2Ru at its relaxed geometry, computed with PBE.

Cell lengths 4.1769, 4.1769, 4.1769 Å; angles 60.00, 60.00, 60.00 degrees
Closest atoms and distances in Å follow each position.
Atoms (fractional coordinates):
Ni (0.0000, 0.0000, 0.0000)  4 Tc 2.56, 4 Ni 2.56
Ni (0.2500, 0.2500, 0.2500)  4 Ru 2.56, 4 Ni 2.56
Tc (0.7500, 0.7500, 0.7500)  4 Ru 2.56, 4 Ni 2.56
Ru (0.5000, 0.5000, 0.5000)  4 Tc 2.56, 4 Ni 2.56

Results
**Formation energy from the elements**: 244 meV/atom
**Total DFT energy (no corrections)**: -30.23 eV/cell
**ΔE to the lowest computed polymorph**: 0.224 eV per atom


Crystalline TcNiRu2 at its relaxed geometry, computed with PBE.

Cell lengths 2.6767, 2.6767, 7.4991 Å; angles 90.00, 90.00, 90.00 degrees
Closest atoms and distances in Å follow each position.
Atoms (fractional coordinates):
Ru (0.5000, 0.5000, 0.2445)  8 Ru 2.66-2.68, 4 Tc 2.75
Ru (0.0000, 0.0000, 0.9953)  4 Ni 2.64, 8 Ru 2.66-2.68
Tc (0.0000, 0.0000, 0.5106)  4 Ni 2.61, 4 Tc 2.68, 4 Ru 2.75
Ni (0.5000, 0.5000, 0.7496)  4 Tc 2.61, 4 Ru 2.64, 4 Ni 2.68

Results
**Formation energy from the elements**: 114 meV/atom
**Total DFT energy (no corrections)**: -34.24 eV/cell
**ΔE to the lowest computed polymorph**: 0.062 eV per atom


Crystalline Tc3NiRu at its relaxed geometry, computed with PBE.

Cell lengths 4.6077, 4.6077, 4.6077 Å; angles 90.00, 90.00, 90.00 degrees
Closest atoms and distances in Å follow each position.
Atoms (fractional coordinates):
Tc (0.0000, 0.0000, 0.5000)  2 Ru 2.30
Tc (0.5000, 0.0000, 0.0000)  2 Ru 2.30
Tc (0.0000, 0.5000, 0.0000)  2 Ru 2.30
Ru (0.0000, 0.0000, 0.0000)  6 Tc 2.30
Ni (0.5000, 0.5000, 0.5000)  12 Tc 3.26

Results
**Formation energy from the elements**: 1975 meV/atom
**Total DFT energy (no corrections)**: -36.28 eV/cell
**ΔE to the lowest computed polymorph**: 1.900 eV per atom


Crystalline Tc3NiRu at its relaxed geometry, computed with PBE.

Cell lengths 2.7213, 8.6080, 7.0035 Å; angles 75.46, 67.11, 99.06 degrees
Closest atoms and distances in Å follow each position.
Atoms (fractional coordinates):
Tc (0.9404, 0.5257, 0.8218)  7 Tc 2.57-2.72, 1 Ni 2.60, 3 Ru 2.67-2.86
Tc (0.7309, 0.0280, 0.7828)  4 Tc 2.62-2.72, 4 Ni 2.66-2.67, 4 Ru 2.69-2.75
Tc (0.1122, 0.3511, 0.5636)  8 Tc 2.58-2.74, 2 Ni 2.61, 2 Ru 2.72
Tc (0.2691, 0.9720, 0.2172)  4 Tc 2.62-2.72, 4 Ni 2.66-2.67, 4 Ru 2.69-2.75
Tc (0.0596, 0.4743, 0.1782)  7 Tc 2.57-2.72, 1 Ni 2.60, 3 Ru 2.67-2.86
Tc (0.8878, 0.6489, 0.4364)  8 Tc 2.58-2.74, 2 Ni 2.61, 2 Ru 2.72
Ni (0.3269, 0.8443, 0.5945)  3 Ni 2.51-2.72, 7 Tc 2.60-2.67, 1 Ru 2.77
Ni (0.6731, 0.1557, 0.4055)  3 Ni 2.51-2.72, 7 Tc 2.60-2.67, 1 Ru 2.77
Ru (0.8327, 0.7619, 0.0481)  9 Tc 2.67-2.86, 2 Ru 2.72, 1 Ni 2.77
Ru (0.1673, 0.2381, 0.9519)  9 Tc 2.67-2.86, 2 Ru 2.72, 1 Ni 2.77

Results
**Formation energy from the elements**: 75 meV/atom
**Total DFT energy (no corrections)**: -91.56 eV/cell
**ΔE to the lowest computed polymorph**: 0.000 eV per atom


Crystalline TcNi2Ru at its relaxed geometry, computed with PBE.

Cell lengths 4.5433, 4.5433, 2.6066 Å; angles 90.01, 90.01, 110.51 degrees
Closest atoms and distances in Å follow each position.
Atoms (fractional coordinates):
Tc (0.0000, 0.5000, 0.5000)  2 Ru 2.59, 2 Tc 2.61, 8 Ni 2.62
Ni (0.5000, 0.5000, 0.0000)  4 Ni 2.59-2.61, 4 Ru 2.62, 4 Tc 2.62
Ni (0.0000, 0.0000, 0.0000)  4 Ni 2.59-2.61, 4 Tc 2.62, 4 Ru 2.62
Ru (0.5000, 0.0000, 0.5000)  2 Tc 2.59, 2 Ru 2.61, 8 Ni 2.62

Results
**Formation energy from the elements**: 111 meV/atom
**Total DFT energy (no corrections)**: -30.76 eV/cell
**ΔE to the lowest computed polymorph**: 0.091 eV per atom


Crystalline TcNiRu2 at its relaxed geometry, computed with PBE.

Cell lengths 4.6327, 4.6327, 4.5958 Å; angles 80.75, 80.75, 33.67 degrees
Closest atoms and distances in Å follow each position.
Atoms (fractional coordinates):
Ni (0.2499, 0.2499, 0.2511)  7 Ru 2.64-2.69, 3 Tc 2.64-2.67, 2 Ni 2.68
Ru (0.0023, 0.0023, 0.0021)  4 Tc 2.63-2.69, 3 Ni 2.64-2.69, 5 Ru 2.65-2.70
Ru (0.7482, 0.7482, 0.7515)  5 Ru 2.65-2.70, 4 Ni 2.66, 3 Tc 2.67-2.70
Tc (0.4996, 0.4996, 0.4952)  7 Ru 2.63-2.70, 3 Ni 2.64-2.67, 2 Tc 2.68

Results
**Formation energy from the elements**: 111 meV/atom
**Total DFT energy (no corrections)**: -34.25 eV/cell
**ΔE to the lowest computed polymorph**: 0.059 eV per atom